# ScCd2Ni, relaxed, DFT PBE
data_ScCd2Ni
_cell_length_a 4.6548
_cell_length_b 4.6548
_cell_length_c 4.6548
_cell_angle_alpha 60.00
_cell_angle_beta 60.00
_cell_angle_gamma 60.00
_space_group_name_H-M_alt 'P 1'
_space_group_IT_number 1
_space_group_name_Hall 'P 1'
loop_
_atom_site_label
_atom_site_type_symbol
_atom_site_fract_x
_atom_site_fract_y
_atom_site_fract_z
_atom_site_occupancy
Sc1 Sc 0.0000 0.0000 0.0000 1
Cd1 Cd 0.2500 0.2500 0.2500 1
Cd2 Cd 0.5000 0.5000 0.5000 1
Ni1 Ni 0.7500 0.7500 0.7500 1
# Magnetization in μB per formula unit: 0.002
# Energy of formation in meV/atom: -179.5

---

# Sc4Cd5Ni2, relaxed, DFT PBE
data_Sc4Cd5Ni2
_cell_length_a 7.3925
_cell_length_b 3.2945
_cell_length_c 9.1051
_cell_angle_alpha 90.00
_cell_angle_beta 94.12
_cell_angle_gamma 90.00
_space_group_name_H-M_alt 'P 1'
_space_group_IT_number 1
_space_group_name_Hall 'P 1'
loop_
_atom_site_label
_atom_site_type_symbol
_atom_site_fract_x
_atom_site_fract_y
_atom_site_fract_z
_atom_site_occupancy
Sc1 Sc 0.1735 0.0000 0.3374 1
Sc2 Sc 0.2061 0.0000 0.9416 1
Sc3 Sc 0.7939 0.0000 0.0584 1
Sc4 Sc 0.8265 0.0000 0.6626 1
Cd1 Cd 0.1706 0.5000 0.6421 1
Cd2 Cd 0.4545 0.5000 0.1661 1
Cd3 Cd 0.5000 0.5000 0.5000 1
Cd4 Cd 0.5455 0.5000 0.8339 1
Cd5 Cd 0.8294 0.5000 0.3579 1
Ni1 Ni 0.0696 0.5000 0.1329 1
Ni2 Ni 0.9304 0.5000 0.8671 1
# Magnetization in μB per formula unit: 0.014
# Energy of formation in meV/atom: -361.6